The following is a DFT calculation (PBE with a Hubbard U) of a geometry-optimized SrEuNiBiO6 structure. Values from VASP.

Cell and atoms, written as Quantum ESPRESSO input:
```
&SYSTEM
  ibrav = 0, nat = 10, ntyp = 5
/
ATOMIC_SPECIES
Sr 87.62 Sr.upf
Eu 151.96 Eu.upf
Ni 58.69 Ni.upf
Bi 208.98 Bi.upf
O 16.00 O.upf
CELL_PARAMETERS angstrom
0.0000 4.0783 4.0783
4.0783 0.0000 4.0783
4.0783 4.0783 0.0000
ATOMIC_POSITIONS angstrom
Sr 0.0000 0.0000 0.0000
Eu 4.0783 4.0783 4.0783
Ni 2.0392 2.0392 2.0392
Bi 6.1175 6.1175 6.1175
O 2.0392 2.0392 0.0457
O 2.0392 0.0457 2.0392
O 4.0326 2.0392 2.0392
O 0.0457 2.0392 2.0392
O 2.0392 4.0326 2.0392
O 2.0392 2.0392 4.0326
```

calculated total energy	-6.4760	eV per atom
D(E_F)	1.01	states/eV/atom